No. 1
# TiSbIr2Br

TiSbIr2Br after structural relaxation (PBE-GGA, the Alexandria database).

a = 4.6074 Å, b = 4.6074 Å, c = 5.3345 Å
α = 90.00°, β = 90.00°, γ = 90.00°
Closest atoms and distances in Å follow each position.
Positions (direct):
1 Ti 0.0000 0.0000 0.0000  4 Sb 3.26, 8 Ir 3.52
2 Sb 0.5000 0.5000 0.0000  2 Br 2.67
3 Ir 0.0000 0.5000 0.5000  2 Br 2.30
4 Ir 0.5000 0.0000 0.5000  2 Br 2.30
5 Br 0.5000 0.5000 0.5000  4 Ir 2.30

Summary:
- SG = P4/mmm (123)
- volume (Å³/atom) = 22.65
- E_tot (eV per atom) = -4.699

---

No. 2
# SbIrWBr2

SbIrWBr2 after structural relaxation (PBE-GGA, the Alexandria database).

a = 5.3173 Å, b = 5.3173 Å, c = 5.5749 Å
α = 90.00°, β = 90.00°, γ = 90.00°
Closest atoms and distances in Å follow each position.
Positions (direct):
1 Sb 0.0000 0.0000 0.0000  4 Br 2.66, 2 W 2.79
2 Ir 0.5000 0.5000 0.5000  4 W 3.76, 8 Br 3.85
3 W 0.0000 0.0000 0.5000  2 Sb 2.79
4 Br 0.0000 0.5000 0.0000  2 Sb 2.66
5 Br 0.5000 0.0000 0.0000  2 Sb 2.66

Summary:
- SG = P4/mmm (123)
- volume (Å³/atom) = 31.52
- E_tot (eV per atom) = -3.738

---

No. 3
# ZnSbIrBr2

ZnSbIrBr2 after structural relaxation (PBE-GGA, the Alexandria database).

a = 4.6785 Å, b = 4.6785 Å, c = 6.5926 Å
α = 90.00°, β = 90.00°, γ = 90.00°
Closest atoms and distances in Å follow each position.
Positions (direct):
1 Zn 0.0000 0.0000 0.0000  4 Br 2.34
2 Sb 0.0000 0.0000 0.5000  2 Zn 3.30, 4 Ir 3.31
3 Ir 0.5000 0.5000 0.5000  4 Sb 3.31
4 Br 0.0000 0.5000 0.0000  2 Zn 2.34
5 Br 0.5000 0.0000 0.0000  2 Zn 2.34

Summary:
- SG = P4/mmm (123)
- volume (Å³/atom) = 28.86
- E_tot (eV per atom) = -2.570

---

No. 4
# Sc2IrBr

Sc2IrBr after structural relaxation (PBE-GGA, the Alexandria database).

a = 8.1593 Å, b = 8.1593 Å, c = 8.1593 Å
α = 28.28°, β = 28.28°, γ = 28.28°
Closest atoms and distances in Å follow each position.
Positions (direct):
1 Sc 0.1129 0.1129 0.1129  3 Ir 2.63, 1 Br 2.65
2 Sc 0.8871 0.8871 0.8871  3 Ir 2.63, 1 Br 2.65
3 Ir 0.5000 0.5000 0.5000  6 Sc 2.63
4 Br 0.0000 0.0000 0.0000  2 Sc 2.65

Summary:
- SG = R-3m (166)
- distance to the lowest polymorph of the same formula (meV/atom) = 44
- volume (Å³/atom) = 26.93

---

No. 5
# ScIrBr2

ScIrBr2 after structural relaxation (PBE-GGA, the Alexandria database).

a = 8.8740 Å, b = 8.8740 Å, c = 8.8740 Å
α = 21.73°, β = 21.73°, γ = 21.73°
Closest atoms and distances in Å follow each position.
Positions (direct):
1 Sc 0.0000 0.0000 0.0000  6 Br 2.69
2 Ir 0.5000 0.5000 0.5000  2 Br 2.46
3 Br 0.4053 0.4053 0.4053  1 Ir 2.46, 3 Sc 2.69
4 Br 0.5947 0.5947 0.5947  1 Ir 2.46, 3 Sc 2.69

Summary:
- SG = R-3m (166)
- distance to the lowest polymorph of the same formula (meV/atom) = 609
- volume (Å³/atom) = 20.98

---

No. 6
# ScIrBr2

ScIrBr2 after structural relaxation (PBE-GGA, the Alexandria database).

a = 4.8474 Å, b = 4.8474 Å, c = 4.8474 Å
α = 60.00°, β = 60.00°, γ = 60.00°
Closest atoms and distances in Å follow each position.
Positions (direct):
1 Sc 0.0000 0.0000 0.0000  4 Br 2.97, 4 Ir 2.97
2 Ir 0.2500 0.2500 0.2500  4 Br 2.97, 4 Sc 2.97
3 Br 0.5000 0.5000 0.5000  4 Br 2.97, 4 Ir 2.97
4 Br 0.7500 0.7500 0.7500  4 Sc 2.97, 4 Br 2.97

Summary:
- SG = F-43m (216)
- distance to the lowest polymorph of the same formula (meV/atom) = 874
- volume (Å³/atom) = 20.13

---

No. 7
# Sc3IrBr

Sc3IrBr after structural relaxation (PBE-GGA, the Alexandria database).

a = 5.1147 Å, b = 5.1147 Å, c = 5.1147 Å
α = 90.00°, β = 90.00°, γ = 90.00°
Closest atoms and distances in Å follow each position.
Positions (direct):
1 Sc 0.0000 0.0000 0.5000  2 Ir 2.56
2 Sc 0.0000 0.5000 0.0000  2 Ir 2.56
3 Sc 0.5000 0.0000 0.0000  2 Ir 2.56
4 Ir 0.0000 0.0000 0.0000  6 Sc 2.56
5 Br 0.5000 0.5000 0.5000  12 Sc 3.62

Summary:
- SG = Pm-3m (221)
- volume (Å³/atom) = 26.76
- E_tot (eV per atom) = -6.304

---

No. 8
# ScIrBr2

ScIrBr2 after structural relaxation (PBE-GGA, the Alexandria database).

a = 3.6375 Å, b = 3.6375 Å, c = 7.4118 Å
α = 90.00°, β = 90.00°, γ = 90.00°
Closest atoms and distances in Å follow each position.
Positions (direct):
1 Sc 0.0000 0.0000 0.0000  1 Br 2.68, 4 Ir 2.72
2 Ir 0.5000 0.5000 0.8795  1 Br 2.48, 4 Sc 2.72
3 Br 0.0000 0.0000 0.6387  1 Sc 2.68
4 Br 0.5000 0.5000 0.2136  1 Ir 2.48

Summary:
- SG = P4mm (99)
- distance to the lowest polymorph of the same formula (meV/atom) = 209
- volume (Å³/atom) = 24.52